Ba2YPaO6 | GGA-PBE | relaxed

a = 6.273 Å, b = 6.273 Å, c = 6.274 Å
α = 60.00°, β = 60.00°, γ = 90.00°
Fractional positions:
Ba 0.250 0.750 0.500
Ba 0.750 0.250 0.500
O 0.754 0.246 0.000
O 0.246 0.246 0.509
O 0.754 0.754 0.000
O 0.754 0.754 0.491
O 0.246 0.754 0.000
O 0.246 0.246 0.000
Y 0.500 0.500 0.000
Pa 0.000 0.000 0.000

Values from the calculation:
Space group   No. 225
Formation energy (no corrections)   -3.32 eV/atom
Total magnetization   0.000 μB/f.u.